(1)
{"formula": "ZrMoRu2", "functional": "GGA-PBE", "state": "optimized geometry", "space_group": "Pmmm", "e_above_lowest_polymorph_mev_per_atom": 14.1, "formation_enthalpy_0k_ev_per_atom": -0.104, "magmom_total_mub_per_cell": 0.000, "mass_density_g_cm3": 9.9, "cell": [[3.040, 0.000, 0.000], [0.000, 3.443, 0.000], [0.000, 0.000, 6.235]], "species": ["Zr", "Mo", "Ru", "Ru"], "frac_coords": [[0.000, 0.000, 0.000], [0.000, 0.000, 0.500], [0.500, 0.500, 0.264], [0.500, 0.500, 0.736]]}

---

(2)
{"formula": "ZrMoRu2", "functional": "GGA-PBE", "state": "optimized geometry", "space_group": "P4mm", "e_above_lowest_polymorph_mev_per_atom": 231.9, "formation_enthalpy_0k_ev_per_atom": 0.114, "magmom_total_mub_per_cell": 0.000, "mass_density_g_cm3": 9.8, "cell": [[2.780, 0.000, 0.000], [0.000, 2.780, 0.000], [0.000, 0.000, 8.505]], "species": ["Zr", "Mo", "Ru", "Ru"], "frac_coords": [[0.000, 0.000, 0.000], [0.500, 0.500, 0.284], [0.000, 0.000, 0.531], [0.500, 0.500, 0.730]]}

---

(3)
{"formula": "Zr4MoRu", "functional": "GGA-PBE", "state": "optimized geometry", "space_group": "F-43m", "formation_enthalpy_0k_ev_per_atom": 0.686, "magmom_total_mub_per_cell": 0.000, "mass_density_g_cm3": 7.7, "cell": [[0.000, 3.933, 3.933], [3.933, 0.000, 3.933], [3.933, 3.933, 0.000]], "species": ["Zr", "Zr", "Zr", "Zr", "Mo", "Ru"], "frac_coords": [[0.125, 0.125, 0.125], [0.125, 0.125, 0.624], [0.125, 0.624, 0.125], [0.624, 0.125, 0.125], [0.750, 0.750, 0.750], [0.500, 0.500, 0.500]]}

---

(4)
{"formula": "Zr2MoRu", "functional": "GGA-PBE", "state": "optimized geometry", "space_group": "P4mm", "formation_enthalpy_0k_ev_per_atom": -0.048, "magmom_total_mub_per_cell": 0.000, "mass_density_g_cm3": 8.3, "cell": [[3.095, 0.000, 0.000], [0.000, 3.095, 0.000], [0.000, 0.000, 7.884]], "species": ["Zr", "Zr", "Mo", "Ru"], "frac_coords": [[0.000, 0.000, 0.000], [0.500, 0.500, 0.308], [0.000, 0.000, 0.567], [0.500, 0.500, 0.752]]}